# 1
ReSi4Mo: PBEsol geometry, meta-GGA SCAN.

Geometry as POSCAR:
```
ReSi4Mo
1.0
3.176 0.000 0.000
0.000 3.176 0.000
0.000 0.000 7.812
Re Si Mo
1 4 1
direct
0.000 0.000 0.000
0.000 0.000 0.334
0.000 0.000 0.666
0.500 0.500 0.168
0.500 0.500 0.832
0.500 0.500 0.500
```

Calculated values
Energy above the lowest structure with this stoichiometry (eV per atom): 0.000
SG: P4/mmm, No. 123
Crystal system: tetragonal
Formation energy (no corrections) (kcal/mol of atoms): -7.61
M_tot (μB per formula unit): 0.00
Total DFT energy (no corrections) (Ry per atom): -1.8133

# 2
ZnBP2PbO9: PBEsol geometry, meta-GGA SCAN.

Geometry as POSCAR:
```
ZnBP2PbO9
1.0
5.237 0.000 0.000
-1.543 7.976 0.000
-0.032 -0.101 8.129
Zn B P Pb O
2 2 4 2 18
direct
0.218 0.300 0.178
0.782 0.700 0.822
0.361 0.959 0.267
0.639 0.041 0.733
0.266 0.684 0.060
0.289 0.795 0.566
0.711 0.205 0.434
0.734 0.316 0.940
0.249 0.415 0.687
0.751 0.585 0.313
0.024 0.311 0.964
0.037 0.690 0.635
0.194 0.060 0.199
0.210 0.850 0.392
0.295 0.561 0.201
0.386 0.958 0.667
0.397 0.647 0.901
0.422 0.860 0.124
0.494 0.683 0.556
0.506 0.317 0.444
0.578 0.140 0.876
0.603 0.353 0.099
0.614 0.042 0.333
0.705 0.439 0.799
0.790 0.150 0.608
0.806 0.940 0.801
0.963 0.310 0.365
0.976 0.689 0.036
```

Calculated values
SG: P-1, No. 2
Crystal system: triclinic
Formation energy (no corrections) (kcal/mol of atoms): -48.74
M_tot (μB per formula unit): 1.03
Total DFT energy (no corrections) (Ry per atom): -1.0668

# 3
BeTeOs3: PBEsol geometry, meta-GGA SCAN.

Geometry as POSCAR:
```
BeTeOs3
1.0
4.177 0.000 0.000
0.000 4.177 0.000
0.000 0.000 4.177
Be Te Os
1 1 3
direct
0.000 0.000 0.000
0.500 0.500 0.500
0.000 0.000 0.500
0.000 0.500 0.000
0.500 0.000 0.000
```

Calculated values
SG: Pm-3m, No. 221
Crystal system: cubic
Formation energy (no corrections) (kcal/mol of atoms): 22.29
M_tot (μB per formula unit): 0.00
Total DFT energy (no corrections) (Ry per atom): -3.7104

# 4
Y3AlGa: PBEsol geometry, meta-GGA SCAN.

Geometry as POSCAR:
```
Y3AlGa
1.0
5.323 0.000 0.000
0.000 5.323 0.000
0.000 0.000 5.323
Y Al Ga
3 1 1
direct
0.000 0.000 0.500
0.000 0.500 0.000
0.500 0.000 0.000
0.500 0.500 0.500
0.000 0.000 0.000
```

Calculated values
SG: Pm-3m, No. 221
Crystal system: cubic
M_tot (μB per formula unit): 0.26
Total DFT energy (no corrections) (Ry per atom): -1.5836
Energy of formation from the pure elements (eV/atom): -0.0212

# 5
Na3VO4: PBEsol geometry, meta-GGA SCAN.

Geometry as POSCAR:
```
Na3VO4
1.0
8.790 0.000 0.000
0.000 10.532 0.000
0.000 0.000 9.733
Na V O
24 8 32
direct
0.026 0.100 0.118
0.026 0.400 0.618
0.148 0.649 0.033
0.148 0.851 0.533
0.179 0.116 0.707
0.179 0.384 0.207
0.321 0.616 0.707
0.321 0.884 0.207
0.352 0.149 0.033
0.352 0.351 0.533
0.474 0.600 0.118
0.474 0.900 0.618
0.526 0.100 0.382
0.526 0.400 0.882
0.648 0.649 0.467
0.648 0.851 0.967
0.679 0.116 0.793
0.679 0.384 0.293
0.821 0.616 0.793
0.821 0.884 0.293
0.852 0.149 0.467
0.852 0.351 0.967
0.974 0.600 0.382
0.974 0.900 0.882
0.181 0.112 0.396
0.181 0.388 0.896
0.319 0.612 0.396
0.319 0.888 0.896
0.681 0.112 0.104
0.681 0.388 0.604
0.819 0.612 0.104
0.819 0.888 0.604
0.048 0.007 0.335
0.048 0.493 0.835
0.099 0.227 0.496
0.099 0.273 0.996
0.192 0.530 0.498
0.192 0.970 0.998
0.224 0.682 0.262
0.224 0.818 0.762
0.276 0.182 0.262
0.276 0.318 0.762
0.308 0.030 0.498
0.308 0.470 0.998
0.401 0.727 0.496
0.401 0.773 0.996
0.452 0.507 0.335
0.452 0.993 0.835
0.548 0.007 0.165
0.548 0.493 0.665
0.599 0.227 0.004
0.599 0.273 0.504
0.692 0.530 0.002
0.692 0.970 0.502
0.724 0.682 0.238
0.724 0.818 0.738
0.776 0.182 0.238
0.776 0.318 0.738
0.808 0.030 0.002
0.808 0.470 0.502
0.901 0.727 0.004
0.901 0.773 0.504
0.952 0.507 0.165
0.952 0.993 0.665
```

Calculated values
SG: Pbca, No. 61
Crystal system: orthorhombic
Formation energy (no corrections) (kcal/mol of atoms): -53.75
M_tot (μB per formula unit): 0.00
Total DFT energy (no corrections) (Ry per atom): -0.6771

# 6
Zr2AsPb: PBEsol geometry, meta-GGA SCAN.

Geometry as POSCAR:
```
Zr2AsPb
1.0
3.524 0.000 0.000
0.000 3.598 0.000
0.000 0.000 14.348
Zr As Pb
4 2 2
direct
0.000 0.000 0.000
0.000 0.500 0.294
0.500 0.000 0.794
0.500 0.500 0.500
0.000 0.500 0.864
0.500 0.000 0.364
0.000 0.000 0.625
0.500 0.500 0.125
```

Calculated values
Energy above the lowest structure with this stoichiometry (eV per atom): 0.000
SG: Imm2, No. 44
Crystal system: orthorhombic
M_tot (μB per formula unit): 0.00
Total DFT energy (no corrections) (Ry per atom): -2.9419
Energy of formation from the pure elements (eV/atom): -0.6843